1.
KRb2RuI6: relaxed, PBE.

Summary:
space group	No. 225
E_form (uncorrected)	-79	kJ/mol of atoms
total energy	-29.8	eV/f.u.

Structure (POSCAR):
```
KRb2RuI6
1.0
8.568 0.000 0.000
0.000 8.568 0.000
4.284 4.284 6.058
Ru Rb I K
1 2 6 1
Cartesian
0.000 0.000 0.000
4.284 8.568 3.029
8.568 4.284 3.029
1.921 6.647 0.000
8.568 8.568 2.717
6.647 1.921 0.000
4.284 4.284 3.342
1.921 1.921 0.000
6.647 6.647 0.000
4.284 4.284 0.000
```

***

2.
KRb2SI: relaxed, PBE.

Summary:
space group	No. 123
E_form (uncorrected)	-110	kJ/mol of atoms
total energy	-14.4	eV/f.u.

Structure (POSCAR):
```
KRb2SI
1.0
-4.160 3.699 3.079
-4.154 -4.815 0.173
2.298 -1.793 5.259
I S Rb K
1 1 2 1
Cartesian
-3.008 -1.455 4.255
0.000 0.000 0.000
-2.077 -2.407 0.086
-2.080 1.850 1.540
1.149 -0.897 2.630
```

***

3.
KRbSI: relaxed, PBE.

Summary:
space group	No. 216
E_form (uncorrected)	-82	kJ/mol of atoms
total energy	-11.1	eV/f.u.

Structure (POSCAR):
```
KRbSI
1.0
5.934 0.000 0.000
2.967 5.139 0.000
2.967 1.713 4.845
I Rb S K
1 1 1 1
Cartesian
5.934 3.426 2.422
2.967 1.713 1.211
0.000 0.000 0.000
8.900 5.139 3.634
```

***

4.
KRbSbI6: relaxed, PBE.

Summary:
space group	No. 149
E_form (uncorrected)	-70	kJ/mol of atoms
total energy	-22.0	eV/f.u.

Structure (POSCAR):
```
KRbSbI6
1.0
-6.122 -1.283 5.860
0.106 -7.081 4.829
4.252 3.638 5.240
I Sb K Rb
6 1 1 1
Cartesian
0.995 1.855 6.063
-2.552 -0.137 5.224
2.855 -1.716 7.032
-0.587 -0.566 9.028
0.893 -1.504 3.377
-0.880 -3.748 6.373
0.121 -0.969 6.183
-1.885 -3.757 9.746
-6.122 -1.283 5.860
```

***

5.
KRbSb2I: relaxed, PBE.

Summary:
space group	No. 123
E_form (uncorrected)	19	kJ/mol of atoms
total energy	-10.9	eV/f.u.
energy above the most stable polymorph in this dataset	0	meV per atom

Structure (POSCAR):
```
KRbSb2I
1.0
6.324 0.000 0.000
0.000 6.324 0.000
0.000 0.000 6.707
I Rb Sb K
1 1 2 1
Cartesian
0.000 0.000 3.353
3.162 3.162 3.353
3.162 0.000 0.000
0.000 3.162 0.000
0.000 0.000 0.000
```

***

6.
KRb2SbI6: relaxed, PBE.

Summary:
space group	No. 14
E_form (uncorrected)	-100	kJ/mol of atoms
total energy	-26.8	eV/f.u.
energy above the most stable polymorph in this dataset	0	meV per atom

Structure (POSCAR):
```
KRb2SbI6
1.0
-4.315 6.875 -2.801
2.968 -1.611 -8.526
-9.962 -7.083 -2.130
Rb I K Sb
4 12 2 2
Cartesian
-8.027 -2.594 -8.081
-11.395 1.202 -5.039
-3.281 0.776 -5.376
0.087 -3.020 -8.418
-4.807 -1.992 -3.040
-5.242 2.286 -2.612
-6.795 -5.382 -5.926
-6.066 -4.104 -10.845
-4.513 3.564 -7.531
-0.696 0.366 -2.454
-6.501 0.174 -10.417
0.202 0.514 -6.702
-11.510 -2.332 -6.755
-3.669 -1.975 -7.979
-10.613 -2.184 -11.003
-7.640 0.157 -5.478
-2.157 3.438 -1.400
-3.497 -4.347 -5.328
1.484 -0.805 -4.263
-7.138 -0.104 -2.466
```

***

7.
KRbSb2I: relaxed, PBE.

Summary:
space group	No. 123
E_form (uncorrected)	30	kJ/mol of atoms
total energy	-10.3	eV/f.u.
energy above the most stable polymorph in this dataset	119	meV per atom

Structure (POSCAR):
```
KRbSb2I
1.0
6.566 0.000 0.000
0.000 6.566 0.000
0.000 0.000 6.883
K I Sb Rb
1 1 2 1
Cartesian
3.283 3.283 3.442
0.000 0.000 3.442
0.000 3.283 0.000
3.283 0.000 0.000
0.000 0.000 0.000
```

***

8.
KRb2SbI6: relaxed, PBE.

Summary:
space group	No. 225
E_form (uncorrected)	-94	kJ/mol of atoms
total energy	-26.2	eV/f.u.
energy above the most stable polymorph in this dataset	59	meV per atom

Structure (POSCAR):
```
KRb2SbI6
1.0
9.025 0.000 0.000
0.000 9.025 0.000
4.513 4.513 6.382
Rb I K Sb
2 6 1 1
Cartesian
4.513 9.025 3.191
9.025 4.513 3.191
9.025 9.025 3.019
4.513 4.513 3.363
2.134 6.891 0.000
6.891 2.134 0.000
6.891 6.891 0.000
2.134 2.134 0.000
4.513 4.513 0.000
0.000 0.000 0.000
```